The following is a DFT calculation (PBE-GGA) of a relaxed structure of NdTmTh2.

**DFT formation energy**: 49.4 meV per atom
**Excess energy over the best structure of this formula in the dataset**: 0.020 eV/atom
**Calculated density**: 9.98 g/cm³
**Space-group type**: No. 160

Cell: 3.5708 3.5708 11.8949 Å, 81.37 81.37 60.00°
With the nearest neighbours (Å) after each atom.
Sites, in units of the cell vectors:
Nd1 0.4982 0.4982 0.5053  6 Nd 3.57, 6 Th 3.58-3.69
Tm1 0.6680 0.6680 0.9960  6 Th 3.50-3.56, 6 Tm 3.57
Th1 0.0817 0.0817 0.7550  3 Tm 3.50, 6 Th 3.57, 3 Nd 3.58
Th2 0.2521 0.2521 0.2437  3 Tm 3.56, 6 Th 3.57, 3 Nd 3.69